Computed, not measured: a relaxed structure of Cs2TbCe2S6 at the PBE level of DFT.

Summary:
Formation energy without anion corrections = -1.84 eV per atom
DOS(E_F) = 6.11 states/eV per cell

Cell: 7.1642 7.1642 8.5408 Å, 97.97 97.97 119.92°
Sites, in units of the cell vectors:
Cs 0.8337 0.1663 0.0000
Cs 0.1663 0.8337 0.0000
Tb 0.0000 0.0000 0.5000
Ce 0.3340 0.6660 0.5000
Ce 0.6660 0.3340 0.5000
S 0.7293 0.7293 0.6769
S 0.0565 0.3901 0.6766
S 0.2707 0.2707 0.3231
S 0.3901 0.0565 0.6766
S 0.9435 0.6099 0.3234
S 0.6099 0.9435 0.3234